RbP3Ir3: relaxed, GGA-PBE.

Cell: 6.696 6.696 9.135 Å, 68.50 68.50 60.00°
Sites, in units of the cell vectors:
P (0.221, 0.565, 0.322)
P (0.435, 0.108, 0.678)
P (0.108, 0.779, 0.678)
P (0.892, 0.221, 0.322)
P (0.565, 0.892, 0.322)
P (0.779, 0.435, 0.678)
Rb (0.667, 0.667, 0.000)
Rb (0.333, 0.333, 0.000)
Ir (0.793, 0.129, 0.611)
Ir (0.129, 0.467, 0.611)
Ir (0.207, 0.871, 0.389)
Ir (0.467, 0.793, 0.611)
Ir (0.871, 0.533, 0.389)
Ir (0.533, 0.207, 0.389)

Results
space-group type: R-3 (148)
calculated formation energy: -41.59 kJ/mol of atoms
density of states at the Fermi level: 6.8 states/eV/cell